Lu2CdPt, optimized geometry, DFT GGA-PBE; distance to the lowest polymorph of the same formula = 0.141 eV per atom; VASP energy = -4.69 eV per atom; space group = R-3m; calculated volume = 26.08 A^3/atom; total magnetization = 0.0 μB/f.u.
1.0
1.965 1.134 7.799
-1.965 1.134 7.799
0.000 -2.269 7.799
Lu Cd Pt
2 1 1
direct
0.233 0.233 0.233
0.767 0.767 0.767
0.000 0.000 0.000
0.500 0.500 0.500

***

Lu2CdPt, optimized geometry, DFT GGA-PBE; distance to the lowest polymorph of the same formula = 0.053 eV per atom; VASP energy = -4.78 eV per atom; space group = Fm-3m; calculated volume = 21.99 A^3/atom; total magnetization = 0.0 μB/f.u.
1.0
0.000 3.530 3.530
3.530 0.000 3.530
3.530 3.530 0.000
Lu Cd Pt
2 1 1
direct
0.250 0.250 0.250
0.750 0.750 0.750
0.000 0.000 0.000
0.500 0.500 0.500

***

LuCd2Pt, optimized geometry, DFT GGA-PBE; VASP energy = -3.01 eV per atom; space group = R-3m; calculated volume = 22.20 A^3/atom; total magnetization = 0.0 μB/f.u.
1.0
1.555 0.898 10.603
-1.555 0.898 10.603
0.000 -1.795 10.603
Lu Cd Pt
1 2 1
direct
0.000 0.000 0.000
0.097 0.097 0.097
0.903 0.903 0.903
0.500 0.500 0.500

***

LuCdPtRh, optimized geometry, DFT GGA-PBE; VASP energy = -5.47 eV per atom; space group = F-43m; calculated volume = 18.16 A^3/atom; total magnetization = 0.0 μB/f.u.
1.0
0.000 3.311 3.311
3.311 0.000 3.311
3.311 3.311 0.000
Lu Cd Pt Rh
1 1 1 1
direct
0.000 0.000 0.000
0.500 0.500 0.500
0.250 0.250 0.250
0.750 0.750 0.750

***

LuScCdPt, optimized geometry, DFT GGA-PBE; VASP energy = -5.20 eV per atom; space group = F-43m; calculated volume = 20.86 A^3/atom; total magnetization = 0.0 μB/f.u.
1.0
0.000 3.468 3.468
3.468 0.000 3.468
3.468 3.468 0.000
Lu Sc Cd Pt
1 1 1 1
direct
0.000 0.000 0.000
0.500 0.500 0.500
0.250 0.250 0.250
0.750 0.750 0.750

***

LuThCdPt, optimized geometry, DFT GGA-PBE; VASP energy = -5.31 eV per atom; space group = F-43m; calculated volume = 24.25 A^3/atom; total magnetization = 0.0 μB/f.u.
1.0
0.000 3.647 3.647
3.647 0.000 3.647
3.647 3.647 0.000
Lu Th Cd Pt
1 1 1 1
direct
0.000 0.000 0.000
0.500 0.500 0.500
0.250 0.250 0.250
0.750 0.750 0.750

***

YLuCdPt, optimized geometry, DFT GGA-PBE; VASP energy = -5.23 eV per atom; space group = F-43m; calculated volume = 22.79 A^3/atom; total magnetization = 0.0 μB/f.u.
1.0
0.000 3.572 3.572
3.572 0.000 3.572
3.572 3.572 0.000
Y Lu Cd Pt
1 1 1 1
direct
0.000 0.000 0.000
0.500 0.500 0.500
0.750 0.750 0.750
0.250 0.250 0.250

***

LuZnCdPt, optimized geometry, DFT GGA-PBE; VASP energy = -3.78 eV per atom; space group = F-43m; calculated volume = 19.00 A^3/atom; total magnetization = 0.0 μB/f.u.
1.0
0.000 3.362 3.362
3.362 0.000 3.362
3.362 3.362 0.000
Lu Zn Cd Pt
1 1 1 1
direct
0.000 0.000 0.000
0.250 0.250 0.250
0.500 0.500 0.500
0.750 0.750 0.750